(1)
Computed, not measured: a relaxed structure of Ac2Sm3Tl4 at the PBE level of DFT.

Structure (POSCAR):
```
Ac2Sm3Tl4
1.0
3.7049 -8.7002 0.0000
3.7049 8.7002 0.0000
0.0000 0.0000 9.3806
Ac Sm Tl
4 6 8
Direct
0.1103 0.8897 0.9224
0.3897 0.6103 0.4224
0.6103 0.3897 0.5776
0.8897 0.1103 0.0776
0.0000 0.0000 0.5000
0.0325 0.4675 0.7500
0.4675 0.0325 0.2500
0.5000 0.5000 0.0000
0.5325 0.9675 0.7500
0.9675 0.5325 0.2500
0.1838 0.8162 0.5402
0.2120 0.2880 0.7500
0.2880 0.2120 0.2500
0.3162 0.6838 0.0402
0.6838 0.3162 0.9598
0.7120 0.7880 0.7500
0.7880 0.7120 0.2500
0.8162 0.1838 0.4598
```

Summary:
crystal system: orthorhombic
energy of formation: -0.284 eV/atom
DOS(E_F): 0.91 states/eV/atom
polymorph energy (0 for the lowest one): 83 meV per atom

(2)
Computed, not measured: a relaxed structure of Sr3HfGe2O9 at the PBE level of DFT.

Structure (POSCAR):
```
Sr3HfGe2O9
1.0
5.5732 0.0000 0.0000
-2.7866 4.8265 0.0000
0.0000 0.0000 6.8537
Sr Hf Ge O
3 1 2 9
Direct
0.0000 0.0000 0.0000
0.3333 0.6667 0.6820
0.6667 0.3333 0.3180
0.0000 0.0000 0.5000
0.3333 0.6667 0.1652
0.6667 0.3333 0.8348
0.0000 0.5000 0.0000
0.1726 0.3451 0.3238
0.1726 0.8274 0.3238
0.3451 0.1726 0.6762
0.5000 0.0000 0.0000
0.5000 0.5000 0.0000
0.6549 0.8274 0.3238
0.8274 0.1726 0.6762
0.8274 0.6549 0.6762
```

Summary:
crystal system: trigonal
ΔE_f (raw): -2.607 eV/atom
DOS(E_F): 0.00 states/eV/atom

(3)
Computed, not measured: a relaxed structure of PmPuF2 at the PBE level of DFT.

Structure (POSCAR):
```
PmPuF2
1.0
3.3404 0.0000 0.0000
-1.6702 2.8929 0.0000
0.0000 0.0000 24.7344
Pm Pu F
3 3 6
Direct
0.0000 0.0000 0.0000
0.3333 0.6667 0.6667
0.6667 0.3333 0.3333
0.0000 0.0000 0.5000
0.3333 0.6667 0.1667
0.6667 0.3333 0.8333
0.0000 0.0000 0.4014
0.0000 0.0000 0.5986
0.3333 0.6667 0.0681
0.3333 0.6667 0.2653
0.6667 0.3333 0.7347
0.6667 0.3333 0.9319
```

Summary:
crystal system: trigonal
ΔE_f (raw): -2.169 eV/atom
DOS(E_F): 2.18 states/eV/atom

(4)
Computed, not measured: a relaxed structure of BeSiP2 at the PBE level of DFT.

Structure (POSCAR):
```
BeSiP2
1.0
4.5074 0.0000 0.0000
0.0000 4.5074 0.0000
0.0000 0.0000 2.5562
Be Si P
1 1 2
Direct
0.0000 0.0000 0.0000
0.5000 0.5000 0.0000
0.0000 0.5000 0.5000
0.5000 0.0000 0.5000
```

Summary:
crystal system: tetragonal
ΔE_f (raw): 0.523 eV/atom
DOS(E_F): 0.53 states/eV/atom
polymorph energy (0 for the lowest one): 901 meV per atom

(5)
Computed, not measured: a relaxed structure of ScHg2Cl at the PBE level of DFT.

Structure (POSCAR):
```
ScHg2Cl
1.0
3.4141 0.0000 0.0000
0.0000 4.7663 0.0000
0.0000 0.0000 5.6337
Sc Hg Cl
1 2 1
Direct
0.0000 0.0000 0.0000
0.0000 0.5000 0.5000
0.5000 0.0000 0.5000
0.5000 0.5000 0.0000
```

Summary:
crystal system: orthorhombic
ΔE_f (raw): -0.432 eV/atom
DOS(E_F): 0.68 states/eV/atom
polymorph energy (0 for the lowest one): 272 meV per atom

(6)
Computed, not measured: a relaxed structure of SrCd10Ga2 at the PBE level of DFT.

Structure (POSCAR):
```
SrCd10Ga2
1.0
0.0000 7.2174 7.2176
2.8925 0.0000 7.2176
2.8925 7.2174 0.0000
Sr Cd Ga
1 10 2
Direct
0.0000 0.0000 0.0000
0.0000 0.5000 0.0000
0.0023 0.6455 0.3545
0.2855 0.5039 0.4961
0.3545 0.9977 0.0023
0.4961 0.7145 0.2855
0.5000 0.0000 0.5000
0.5039 0.2855 0.7145
0.6455 0.0023 0.9977
0.7145 0.4961 0.5039
0.9977 0.3545 0.6455
0.0000 0.0000 0.5000
0.5000 0.5000 0.0000
```

Summary:
crystal system: orthorhombic
energy of formation: -0.097 eV/atom
DOS(E_F): 0.43 states/eV/atom

(7)
Computed, not measured: a relaxed structure of Zr5Os4 at the PBE level of DFT.

Structure (POSCAR):
```
Zr5Os4
1.0
8.2327 0.0000 0.0000
-4.1164 7.1297 0.0000
0.0000 0.0000 5.7621
Zr Os
10 8
Direct
0.0000 0.2804 0.2500
0.0000 0.7196 0.7500
0.2804 0.0000 0.2500
0.2804 0.2804 0.7500
0.3333 0.6667 0.0000
0.3333 0.6667 0.5000
0.6667 0.3333 0.0000
0.6667 0.3333 0.5000
0.7196 0.0000 0.7500
0.7196 0.7196 0.2500
0.0000 0.0000 0.0000
0.0000 0.0000 0.5000
0.0000 0.3863 0.7500
0.0000 0.6137 0.2500
0.3863 0.0000 0.7500
0.3863 0.3863 0.2500
0.6137 0.0000 0.2500
0.6137 0.6137 0.7500
```

Summary:
crystal system: hexagonal
energy of formation: -0.190 eV/atom
DOS(E_F): 0.67 states/eV/atom
polymorph energy (0 for the lowest one): 0 meV per atom

(8)
Computed, not measured: a relaxed structure of LiCuNi2H at the PBE level of DFT.

Structure (POSCAR):
```
LiCuNi2H
1.0
3.5692 0.0000 0.0000
0.0000 3.5692 0.0000
0.0000 0.0000 3.7371
Li Cu Ni H
1 1 2 1
Direct
0.0000 0.0000 0.0000
0.5000 0.5000 0.0000
0.0000 0.5000 0.5000
0.5000 0.0000 0.5000
0.5000 0.5000 0.5000
```

Summary:
crystal system: tetragonal
DOS(E_F): 0.62 states/eV/atom
polymorph energy (0 for the lowest one): 65 meV per atom

(9)
Computed, not measured: a relaxed structure of Tb5Tl4Cd at the PBE level of DFT.

Structure (POSCAR):
```
Tb5Tl4Cd
1.0
3.7803 0.0000 0.0000
0.0000 3.7803 0.0000
0.0000 0.0000 19.1404
Tb Tl Cd
5 4 1
Direct
0.0000 0.0000 0.0000
0.0000 0.0000 0.2019
0.0000 0.0000 0.4040
0.0000 0.0000 0.5960
0.0000 0.0000 0.7981
0.5000 0.5000 0.1007
0.5000 0.5000 0.3043
0.5000 0.5000 0.6957
0.5000 0.5000 0.8993
0.5000 0.5000 0.5000
```

Summary:
crystal system: tetragonal
energy of formation: -0.349 eV/atom
DOS(E_F): 0.99 states/eV/atom

(10)
Computed, not measured: a relaxed structure of NaMn2TlBr6 at the PBE level of DFT.

Structure (POSCAR):
```
NaMn2TlBr6
1.0
7.0677 -6.9121 0.0000
7.0677 6.9121 0.0000
-1.2374 0.0000 7.2728
Na Mn Tl Br
2 4 2 12
Direct
0.2151 0.7849 0.7500
0.7849 0.2151 0.2500
0.1136 0.2814 0.7847
0.2814 0.1136 0.2847
0.7186 0.8864 0.7153
0.8864 0.7186 0.2153
0.4016 0.5984 0.2500
0.5984 0.4016 0.7500
0.0737 0.2155 0.1021
0.1023 0.6570 0.3888
0.2155 0.0737 0.6021
0.2708 0.4780 0.8285
0.3430 0.8977 0.1112
0.4780 0.2708 0.3285
0.5220 0.7292 0.6715
0.6570 0.1023 0.8888
0.7292 0.5220 0.1715
0.7845 0.9263 0.3979
0.8977 0.3430 0.6112
0.9263 0.7845 0.8979
```

Summary:
crystal system: monoclinic
ΔE_f (raw): -0.934 eV/atom
DOS(E_F): 0.00 states/eV/atom

(11)
Computed, not measured: a relaxed structure of Zr2CdCo at the PBE level of DFT.

Structure (POSCAR):
```
Zr2CdCo
1.0
3.6461 0.0000 0.0000
0.0000 4.9660 0.0000
0.0000 0.0000 8.5480
Zr Cd Co
4 2 2
Direct
0.0000 0.0000 0.2096
0.0000 0.0000 0.7904
0.5000 0.5000 0.2904
0.5000 0.5000 0.7096
0.0000 0.5000 0.0000
0.5000 0.0000 0.5000
0.0000 0.5000 0.5000
0.5000 0.0000 0.0000
```

Summary:
crystal system: orthorhombic
energy of formation: -0.012 eV/atom
DOS(E_F): 0.90 states/eV/atom

(12)
Computed, not measured: a relaxed structure of TlGe2SeS at the PBE level of DFT.

Structure (POSCAR):
```
TlGe2SeS
1.0
5.4860 0.0000 0.0000
0.0000 5.4860 0.0000
0.0000 0.0000 5.1561
Tl Ge Se S
1 2 1 1
Direct
0.0000 0.0000 0.0000
0.0000 0.5000 0.0000
0.5000 0.0000 0.0000
0.0000 0.0000 0.5000
0.5000 0.5000 0.5000
```

Summary:
crystal system: tetragonal
ΔE_f (raw): 1.091 eV/atom
DOS(E_F): 1.23 states/eV/atom

(13)
Computed, not measured: a relaxed structure of MoOsPd2W at the PBE level of DFT.

Structure (POSCAR):
```
MoOsPd2W
1.0
4.7383 0.0000 0.0000
0.0000 4.7383 0.0000
0.0000 0.0000 4.6289
Mo Os Pd W
1 1 2 1
Direct
0.0000 0.0000 0.0000
0.5000 0.5000 0.0000
0.0000 0.5000 0.5000
0.5000 0.0000 0.5000
0.0000 0.0000 0.5000
```

Summary:
crystal system: tetragonal
energy of formation: 2.077 eV/atom
DOS(E_F): 1.32 states/eV/atom

(14)
Computed, not measured: a relaxed structure of MgIn2Ni at the PBE level of DFT.

Structure (POSCAR):
```
MgIn2Ni
1.0
4.2129 0.0000 0.0000
0.0000 4.2129 0.0000
0.0000 0.0000 8.6402
Mg In Ni
2 4 2
Direct
0.0000 0.0000 0.0000
0.5000 0.5000 0.5000
0.0000 0.0000 0.5000
0.0000 0.5000 0.2500
0.5000 0.0000 0.7500
0.5000 0.5000 0.0000
0.0000 0.5000 0.7500
0.5000 0.0000 0.2500
```

Summary:
crystal system: tetragonal
energy of formation: 0.035 eV/atom
DOS(E_F): 0.56 states/eV/atom

(15)
Computed, not measured: a relaxed structure of LaMnSi3 at the PBE level of DFT.

Structure (POSCAR):
```
LaMnSi3
1.0
5.3489 0.0000 0.0000
0.0000 5.3489 0.0000
0.0000 0.0000 5.3489
La Mn Si
1 1 3
Direct
0.0000 0.0000 0.0000
0.5000 0.5000 0.5000
0.0000 0.0000 0.5000
0.0000 0.5000 0.0000
0.5000 0.0000 0.0000
```

Summary:
crystal system: cubic
ΔE_f (raw): 2.128 eV/atom
DOS(E_F): 1.55 states/eV/atom

(16)
Computed, not measured: a relaxed structure of Re2BOs at the PBE level of DFT.

Structure (POSCAR):
```
Re2BOs
1.0
4.8542 0.0000 0.0000
0.0000 4.8542 0.0000
0.0000 0.0000 11.4869
Re B Os
8 4 4
Direct
0.1790 0.2500 0.1250
0.2500 0.6790 0.3750
0.2500 0.8210 0.8750
0.3210 0.2500 0.6250
0.6790 0.7500 0.6250
0.7500 0.1790 0.8750
0.7500 0.3210 0.3750
0.8210 0.7500 0.1250
0.0000 0.0000 0.0000
0.0000 0.5000 0.2500
0.5000 0.0000 0.7500
0.5000 0.5000 0.5000
0.0000 0.0000 0.5000
0.0000 0.5000 0.7500
0.5000 0.0000 0.2500
0.5000 0.5000 0.0000
```

Summary:
crystal system: tetragonal
energy of formation: 1.006 eV/atom
DOS(E_F): 0.68 states/eV/atom

(17)
Computed, not measured: a relaxed structure of CsZnB2Cl at the PBE level of DFT.

Structure (POSCAR):
```
CsZnB2Cl
1.0
4.3190 0.0000 0.0000
0.0000 4.3190 0.0000
0.0000 0.0000 7.1735
Cs Zn B Cl
1 1 2 1
Direct
0.0000 0.0000 0.0000
0.5000 0.5000 0.5000
0.0000 0.5000 0.5000
0.5000 0.0000 0.5000
0.5000 0.5000 0.0000
```

Summary:
crystal system: tetragonal
ΔE_f (raw): 0.819 eV/atom
DOS(E_F): 0.52 states/eV/atom

(18)
Computed, not measured: a relaxed structure of PmDyN2 at the PBE level of DFT.

Structure (POSCAR):
```
PmDyN2
1.0
3.4834 0.0000 0.0000
-1.7417 3.0167 0.0000
0.0000 0.0000 18.1304
Pm Dy N
3 3 6
Direct
0.0000 0.0000 0.0000
0.3333 0.6667 0.6667
0.6667 0.3333 0.3333
0.0000 0.0000 0.1704
0.3333 0.6667 0.8371
0.6667 0.3333 0.5037
0.0000 0.0000 0.4260
0.0000 0.0000 0.5897
0.3333 0.6667 0.0927
0.3333 0.6667 0.2564
0.6667 0.3333 0.7594
0.6667 0.3333 0.9230
```

Summary:
crystal system: trigonal
ΔE_f (raw): -1.311 eV/atom
polymorph energy (0 for the lowest one): 247 meV per atom

(19)
Computed, not measured: a relaxed structure of ThTc3Ge2 at the PBE level of DFT.

Structure (POSCAR):
```
ThTc3Ge2
1.0
7.8120 -2.1049 0.0000
7.8120 2.1049 0.0000
-3.5718 0.0000 6.6840
Th Tc Ge
2 6 4
Direct
0.1422 0.1422 0.0566
0.8578 0.8578 0.9434
0.0449 0.0449 0.3971
0.2963 0.2963 0.5226
0.4127 0.4127 0.3496
0.5873 0.5873 0.6504
0.7037 0.7037 0.4774
0.9551 0.9551 0.6029
0.1987 0.1987 0.7240
0.4751 0.4751 0.8104
0.5249 0.5249 0.1896
0.8013 0.8013 0.2760
```

Summary:
crystal system: monoclinic
energy of formation: -0.408 eV/atom
DOS(E_F): 0.56 states/eV/atom

(20)
Computed, not measured: a relaxed structure of NbCdRuO6 at the PBE level of DFT.

Structure (POSCAR):
```
NbCdRuO6
1.0
4.8821 0.0000 0.0000
0.0000 4.8821 0.0000
0.0000 0.0000 9.4958
Nb Cd Ru O
2 2 2 12
Direct
0.0000 0.0000 0.0000
0.5000 0.5000 0.5000
0.0000 0.0000 0.3291
0.5000 0.5000 0.8291
0.0000 0.0000 0.6610
0.5000 0.5000 0.1610
0.1756 0.1756 0.8260
0.2095 0.2095 0.5191
0.2173 0.2173 0.1402
0.2827 0.7173 0.6402
0.2905 0.7095 0.0191
0.3244 0.6756 0.3260
0.6756 0.3244 0.3260
0.7095 0.2905 0.0191
0.7173 0.2827 0.6402
0.7827 0.7827 0.1402
0.7905 0.7905 0.5191
0.8244 0.8244 0.8260
```

Summary:
crystal system: tetragonal
ΔE_f (raw): -1.500 eV/atom
DOS(E_F): 0.36 states/eV/atom

(21)
Computed, not measured: a relaxed structure of Be2SiNi at the PBE level of DFT.

Structure (POSCAR):
```
Be2SiNi
1.0
7.8420 0.0000 0.0000
0.0000 2.5701 0.0000
-0.7286 0.0000 3.9276
Be Si Ni
4 2 2
Direct
0.2474 0.0000 0.2456
0.2526 0.5000 0.7544
0.7474 0.5000 0.2456
0.7526 0.0000 0.7544
0.0000 0.0000 0.5000
0.5000 0.5000 0.5000
0.0000 0.5000 0.0000
0.5000 0.0000 0.0000
```

Summary:
crystal system: monoclinic
ΔE_f (raw): -0.142 eV/atom
DOS(E_F): 0.22 states/eV/atom

(22)
Computed, not measured: a relaxed structure of CaSbAs2 at the PBE level of DFT.

Structure (POSCAR):
```
CaSbAs2
1.0
4.3329 0.0000 0.0000
0.0000 5.5444 0.0000
0.0000 0.0000 8.0437
Ca Sb As
2 2 4
Direct
0.0000 0.0000 0.0000
0.5000 0.5000 0.0000
0.0000 0.0000 0.5000
0.5000 0.5000 0.5000
0.0000 0.5000 0.2504
0.0000 0.5000 0.7496
0.5000 0.0000 0.2504
0.5000 0.0000 0.7496
```

Summary:
crystal system: orthorhombic
ΔE_f (raw): -0.170 eV/atom
DOS(E_F): 0.51 states/eV/atom

(23)
Computed, not measured: a relaxed structure of RbAsO3 at the PBE level of DFT.

Structure (POSCAR):
```
RbAsO3
1.0
5.4727 -4.0937 0.0000
5.4727 4.0937 0.0000
-0.0961 0.0000 4.3330
Rb As O
2 2 6
Direct
0.1985 0.1985 0.1640
0.8015 0.8015 0.8360
0.3341 0.6659 0.5000
0.6659 0.3341 0.5000
0.1244 0.6630 0.2981
0.3370 0.8756 0.7019
0.4226 0.4226 0.7061
0.5774 0.5774 0.2939
0.6630 0.1244 0.2981
0.8756 0.3370 0.7019
```

Summary:
crystal system: monoclinic
ΔE_f (raw): -1.460 eV/atom
DOS(E_F): 0.00 states/eV/atom

(24)
Computed, not measured: a relaxed structure of LiYZr3 at the PBE level of DFT.

Structure (POSCAR):
```
LiYZr3
1.0
4.9439 0.0000 0.0000
0.0000 4.9439 0.0000
0.0000 0.0000 4.9439
Li Y Zr
1 1 3
Direct
0.0000 0.0000 0.0000
0.5000 0.5000 0.5000
0.0000 0.0000 0.5000
0.0000 0.5000 0.0000
0.5000 0.0000 0.0000
```

Summary:
crystal system: cubic
energy of formation: 0.638 eV/atom
DOS(E_F): 1.72 states/eV/atom
polymorph energy (0 for the lowest one): 0 meV per atom